# K2Cd5Pd

A relaxed K2Cd5Pd crystal (PBE-GGA, Alexandria via LeMat-Bulk). Values from VASP.

Results
- size of the total moment (μB per atom) = 0.0000
- crystal system = tetragonal
- energy of formation (eV per formula unit) = -0.889
- symmetry = No. 107

The structure in Quantum ESPRESSO input format:
```
&SYSTEM
  ibrav = 0, nat = 8, ntyp = 3
/
ATOMIC_SPECIES
K 39.10 K.upf
Cd 112.41 Cd.upf
Pd 106.42 Pd.upf
ATOMIC_POSITIONS angstrom
K 3.1805 0.0000 0.0000
K 0.0000 3.1805 0.0000
Cd 1.5746 1.5746 -3.0007
Cd 1.6059 -1.6059 3.2784
Cd 0.0000 0.0000 1.3652
Cd -1.6059 1.6059 3.2784
Cd 1.6059 1.6059 3.2784
Pd 0.0000 0.0000 11.1679
CELL_PARAMETERS angstrom
-3.1805 3.1805 6.2790
3.1805 -3.1805 6.2790
3.1805 3.1805 -6.2790
```